i) Density functional theory data (GGA-PBEsol) for a relaxed structure of NiOs2Au.

Properties
Spin magnetization (μB per formula unit): 0.00

Cell lengths 2.7407, 4.4682, 4.6277 Å; angles 90.00, 90.00, 90.00 degrees
With the nearest neighbours (Å) after each atom.
Sites, in units of the cell vectors:
Au  0.5000  0.0000  0.5000  4 Ni 2.62, 4 Os 2.69, 2 Au 2.74
Ni  0.0000  0.5000  0.5000  4 Au 2.62, 4 Os 2.69, 2 Ni 2.74
Os  0.0000  0.0000  0.0000  6 Os 2.62-2.74, 4 Au 2.69
Os  0.5000  0.5000  0.0000  6 Os 2.62-2.74, 4 Ni 2.69

ii) Density functional theory data (GGA-PBEsol) for a relaxed structure of NiOs2Au.

Properties
Spin magnetization (μB per formula unit): 0.00

Cell lengths 2.7437, 3.7317, 5.4311 Å; angles 90.00, 90.00, 90.00 degrees
With the nearest neighbours (Å) after each atom.
Sites, in units of the cell vectors:
Au  0.0000  0.0000  0.5150  4 Ni 2.66, 6 Os 2.67-2.81, 2 Au 2.74
Ni  0.5000  0.5000  0.7556  5 Os 2.53-2.69, 4 Au 2.66, 2 Ni 2.74
Os  0.0000  0.0000  0.0075  6 Os 2.59-2.74, 2 Au 2.67-2.76, 4 Ni 2.69
Os  0.5000  0.5000  0.2218  1 Ni 2.53, 6 Os 2.59-2.74, 4 Au 2.81

The least stable of them is i).

i) Density functional theory data (GGA-PBEsol) for a relaxed structure of NiOsAu2.

Properties
Spin magnetization (μB per formula unit): 0.45

Cell lengths 2.7306, 2.7306, 7.7769 Å; angles 90.00, 90.00, 90.00 degrees
With the nearest neighbours (Å) after each atom.
Sites, in units of the cell vectors:
Au  0.0000  0.0000  0.7643  4 Ni 2.66, 4 Au 2.73, 4 Os 2.82
Au  0.0000  0.0000  0.2357  4 Ni 2.66, 4 Au 2.73, 4 Os 2.82
Ni  0.5000  0.5000  0.0000  8 Au 2.66, 4 Ni 2.73
Os  0.5000  0.5000  0.5000  4 Os 2.73, 8 Au 2.82

ii) Density functional theory data (GGA-PBEsol) for a relaxed structure of NiOsAu2.

Properties
Spin magnetization (μB per formula unit): 0.00

Cell lengths 2.7252, 2.7252, 7.8396 Å; angles 90.00, 90.00, 90.00 degrees
With the nearest neighbours (Å) after each atom.
Sites, in units of the cell vectors:
Au  0.0000  0.0000  0.9882  8 Au 2.73-2.96, 4 Os 2.85
Au  0.5000  0.5000  0.2752  4 Ni 2.70, 8 Au 2.73-2.96
Ni  0.0000  0.0000  0.5170  4 Os 2.50, 4 Au 2.70, 4 Ni 2.73
Os  0.5000  0.5000  0.7196  4 Ni 2.50, 4 Os 2.73

The least stable of them is i).

i) Density functional theory data (GGA-PBEsol) for a relaxed structure of Ni2PtAu.

Properties
Spin magnetization (μB per formula unit): 1.30

Cell lengths 2.7167, 4.4869, 4.4869 Å; angles 104.88, 90.00, 90.00 degrees
With the nearest neighbours (Å) after each atom.
Sites, in units of the cell vectors:
Ni  0.0000  0.5000  0.0000  4 Pt 2.62, 4 Au 2.62, 4 Ni 2.72-2.74
Ni  0.0000  0.0000  0.5000  4 Au 2.62, 4 Pt 2.62, 4 Ni 2.72-2.74
Au  0.5000  0.5000  0.5000  8 Ni 2.62, 2 Au 2.72, 2 Pt 2.74
Pt  0.5000  0.0000  0.0000  8 Ni 2.62, 2 Pt 2.72, 2 Au 2.74

ii) Density functional theory data (GGA-PBEsol) for a relaxed structure of Ni2PtAu.

Properties
Spin magnetization (μB per formula unit): 1.52

Cell lengths 2.7179, 2.7179, 7.1701 Å; angles 90.00, 90.00, 90.00 degrees
With the nearest neighbours (Å) after each atom.
Sites, in units of the cell vectors:
Ni  0.0000  0.0000  0.7593  4 Pt 2.58, 4 Au 2.67, 4 Ni 2.72
Ni  0.0000  0.0000  0.2407  4 Pt 2.58, 4 Au 2.67, 4 Ni 2.72
Au  0.5000  0.5000  0.5000  8 Ni 2.67, 4 Au 2.72
Pt  0.5000  0.5000  0.0000  8 Ni 2.58, 4 Pt 2.72

iii) Density functional theory data (GGA-PBEsol) for a relaxed structure of Ni2PtAu.

Properties
Spin magnetization (μB per formula unit): 1.39

Cell lengths 3.7219, 3.7219, 4.6559 Å; angles 113.56, 113.56, 90.00 degrees
With the nearest neighbours (Å) after each atom.
Sites, in units of the cell vectors:
Au  0.2500  0.7500  0.5000  8 Ni 2.63-2.67, 4 Pt 2.67
Ni  0.0000  0.0000  0.0000  4 Pt 2.63, 4 Ni 2.67, 4 Au 2.67
Ni  0.7500  0.2500  0.5000  4 Au 2.63, 4 Pt 2.67, 4 Ni 2.67
Pt  0.5000  0.5000  0.0000  8 Ni 2.63-2.67, 4 Au 2.67

iv) Density functional theory data (GGA-PBEsol) for a relaxed structure of Ni2PtAu.

Properties
Spin magnetization (μB per formula unit): 1.52

Cell lengths 3.8635, 3.8635, 4.4780 Å; angles 115.55, 115.55, 90.00 degrees
With the nearest neighbours (Å) after each atom.
Sites, in units of the cell vectors:
Ni  0.7500  0.2500  0.5000  4 Pt 2.62, 4 Au 2.62, 4 Ni 2.73
Ni  0.2500  0.7500  0.5000  4 Au 2.62, 4 Pt 2.62, 4 Ni 2.73
Au  0.5000  0.5000  0.0000  8 Ni 2.62, 4 Pt 2.73
Pt  0.0000  0.0000  0.0000  8 Ni 2.62, 4 Au 2.73

The least stable of them is iii).

i) Density functional theory data (GGA-PBEsol) for a relaxed structure of NiPt2Au.

Properties
Spin magnetization (μB per formula unit): 1.07

Cell lengths 2.7515, 4.7033, 4.7808 Å; angles 101.93, 106.72, 90.00 degrees
With the nearest neighbours (Å) after each atom.
Sites, in units of the cell vectors:
Ni  0.5000  0.0000  0.0000  6 Pt 2.63-2.84, 4 Au 2.72, 2 Ni 2.75
Au  0.0000  0.5000  0.0000  4 Ni 2.72, 6 Pt 2.74-2.79, 2 Au 2.75
Pt  0.2404  0.2390  0.4809  3 Ni 2.63-2.84, 6 Pt 2.67-2.79, 3 Au 2.74-2.79
Pt  0.7596  0.7610  0.5191  3 Ni 2.63-2.84, 6 Pt 2.67-2.79, 3 Au 2.74-2.79

ii) Density functional theory data (GGA-PBEsol) for a relaxed structure of NiPt2Au.

Properties
Spin magnetization (μB per formula unit): 1.14

Cell lengths 3.8892, 3.8892, 4.7120 Å; angles 114.37, 114.37, 90.00 degrees
With the nearest neighbours (Å) after each atom.
Sites, in units of the cell vectors:
Au  0.5000  0.5000  0.0000  4 Ni 2.73, 8 Pt 2.73-2.75
Ni  0.2500  0.7500  0.5000  8 Pt 2.73-2.75, 4 Au 2.73
Pt  0.0000  0.0000  0.0000  4 Ni 2.73, 4 Pt 2.73, 4 Au 2.75
Pt  0.7500  0.2500  0.5000  4 Pt 2.73, 4 Au 2.73, 4 Ni 2.75

The least stable of them is ii).